[1]
Entry from the Alexandria database: a geometry-optimized Be2CrCl structure (PBE-GGA).

The formation energy without anion corrections comes out at 0.305 eV/atom. The total energy is -17.70 eV per cell. Its energy relative to the lowest polymorph listed for this composition is 111 meV per atom.

The space group is P2/m (No. 10) and the conventional cell measures 3.023, 2.951 and 5.972 Å, with angles of 90.00, 90.09 and 90.00 degrees. Symmetry generates all atoms from Be at (0.001, 0.000, 0.201), Cr at (0.500, 0.500, 0.000) and Cl at (0.000, 0.500, 0.500).

=====

[2]
Entry from the Alexandria database: a geometry-optimized SiB2 structure (PBE-GGA).

The formation energy without anion corrections comes out at 0.287 eV/atom. The total energy is -35.83 eV per cell. Its energy relative to the lowest polymorph listed for this composition is 96 meV per atom.

The space group is P2 (No. 3) and the conventional cell measures 3.053, 3.828 and 5.697 Å, with angles of 90.00, 95.49 and 90.00 degrees. Symmetry generates all atoms from Si at (0.056, 0.000, 0.209), B at (0.091, 0.484, 0.354) and B at (0.409, 0.687, 0.646).